First-principles (PBE-GGA) data for a geometry-optimized Pm2Nd9Dy structure, as listed in the Alexandria database.

Unit cell a=5.180 b=5.180 c=15.533 alpha=90.00 beta=90.00 gamma=90.00
Element x y z (fractional)
Pm: 0.000 0.000 0.168
Pm: 0.000 0.000 0.832
Nd: 0.000 0.500 0.000
Nd: 0.000 0.500 0.335
Nd: 0.000 0.500 0.665
Nd: 0.500 0.000 0.000
Nd: 0.500 0.000 0.335
Nd: 0.500 0.000 0.665
Nd: 0.500 0.500 0.168
Nd: 0.500 0.500 0.500
Nd: 0.500 0.500 0.832
Dy: 0.000 0.000 0.500

Computed properties:
The value obtained for the total energy is -4.737 eV/atom. As for the total magnetization: 0.0000 μB/atom. The value obtained for the density of states at the Fermi level is 19.9 states/eV/f.u. The density comes out at 6.97 g cm⁻³.

First-principles (PBE-GGA) data for a geometry-optimized Pm6Nd3Dy structure, as listed in the Alexandria database.

Unit cell a=6.731 b=6.731 c=9.185 alpha=104.84 beta=104.84 gamma=61.45
Element x y z (fractional)
Pm: 0.072 0.551 0.198
Pm: 0.125 0.125 0.418
Pm: 0.449 0.928 0.802
Pm: 0.551 0.072 0.198
Pm: 0.875 0.875 0.582
Pm: 0.928 0.449 0.802
Nd: 0.424 0.424 0.831
Nd: 0.500 0.500 0.500
Nd: 0.576 0.576 0.169
Dy: 0.000 0.000 0.000

Computed properties:
The value obtained for the total energy is -4.525 eV/atom. As for the total magnetization: 0.0000 μB/atom. The value obtained for the density of states at the Fermi level is 17.8 states/eV/f.u. The density comes out at 6.97 g cm⁻³.

First-principles (PBE-GGA) data for a geometry-optimized Pm4Nd4Dy3 structure, as listed in the Alexandria database.

Unit cell a=12.089 b=12.089 c=12.089 alpha=162.58 beta=133.42 gamma=50.10
Element x y z (fractional)
Pm: 0.185 0.000 0.185
Pm: 0.239 0.239 0.000
Pm: 0.761 0.761 0.000
Pm: 0.815 0.000 0.815
Nd: 0.181 0.857 0.325
Nd: 0.468 0.143 0.325
Nd: 0.532 0.857 0.675
Nd: 0.819 0.143 0.675
Dy: 0.107 0.607 0.500
Dy: 0.500 0.500 0.000
Dy: 0.893 0.393 0.500

Computed properties:
The value obtained for the total energy is -4.593 eV/atom. As for the total magnetization: 0.0000 μB/atom. The value obtained for the density of states at the Fermi level is 17.4 states/eV/f.u. The density comes out at 7.12 g cm⁻³.

First-principles (PBE-GGA) data for a geometry-optimized Pm5Nd5Dy structure, as listed in the Alexandria database.

Unit cell a=7.043 b=7.045 c=8.704 alpha=76.09 beta=75.82 gamma=70.78
Element x y z (fractional)
Pm: 0.000 0.000 0.000
Pm: 0.145 0.646 0.356
Pm: 0.352 0.273 0.721
Pm: 0.648 0.727 0.279
Pm: 0.855 0.354 0.644
Nd: 0.235 0.145 0.273
Nd: 0.302 0.809 0.642
Nd: 0.500 0.500 0.000
Nd: 0.698 0.191 0.358
Nd: 0.765 0.855 0.727
Dy: 0.000 0.500 0.000

Computed properties:
The value obtained for the total energy is -4.611 eV/atom. As for the total magnetization: 0.0000 μB/atom. The value obtained for the density of states at the Fermi level is 16.9 states/eV/f.u. The density comes out at 6.86 g cm⁻³.